*a*
Density functional theory data (meta-GGA SCAN) for a PBEsol-optimized structure of LaPtS2N.

Total magnetic moment: 0.0 μB per formula unit
Density: 7.574 g cm⁻³

abc: 3.7589 4.9029 4.9029
angles: 90.00 90.00 90.00
With the nearest neighbours (Å) after each atom.
Sites, in units of the cell vectors:
S  0.0000  0.0000  0.5000  2 Pt 2.45
S  0.0000  0.5000  0.0000  2 Pt 2.45
N  0.5000  0.0000  0.0000  2 Pt 1.88
Pt  0.0000  0.0000  0.0000  2 N 1.88
La  0.5000  0.5000  0.5000  8 S 3.09


*b*
Density functional theory data (meta-GGA SCAN) for a PBEsol-optimized structure of LaPtS2N.

Total magnetic moment: 2.7 μB per formula unit
Density: 5.789 g cm⁻³

abc: 4.0194 5.4231 5.4231
angles: 90.00 90.00 90.00
With the nearest neighbours (Å) after each atom.
Sites, in units of the cell vectors:
S  0.0000  0.0000  0.5000  2 La 2.71
S  0.0000  0.5000  0.0000  2 La 2.71
N  0.5000  0.0000  0.0000  2 La 2.01
Pt  0.5000  0.5000  0.5000  8 S 3.38
La  0.0000  0.0000  0.0000  2 N 2.01


Which of them is the most stable, and which is the least stable? *a* and *b*, in that order.


*a*
Density functional theory data (meta-GGA SCAN) for a PBEsol-optimized structure of LaTaTeN2.

Total magnetic moment: 2.2 μB per formula unit
Density: 7.124 g cm⁻³

abc: 4.1374 4.1374 6.4744
angles: 90.00 90.00 90.00
With the nearest neighbours (Å) after each atom.
Sites, in units of the cell vectors:
N  0.0000  0.5000  0.0000  2 La 2.07
N  0.5000  0.0000  0.0000  2 La 2.07
La  0.0000  0.0000  0.0000  4 N 2.07
Te  0.0000  0.0000  0.5000  4 Ta 2.93, 2 La 3.24
Ta  0.5000  0.5000  0.5000  4 Te 2.93


*b*
Density functional theory data (meta-GGA SCAN) for a PBEsol-optimized structure of LaTaTeN2.

Total magnetic moment: 0.0 μB per formula unit
Density: 8.320 g cm⁻³

abc: 4.2092 4.2092 5.3559
angles: 90.00 90.00 90.00
With the nearest neighbours (Å) after each atom.
Sites, in units of the cell vectors:
N  0.0000  0.5000  0.0000  2 Ta 2.10
N  0.5000  0.0000  0.0000  2 Ta 2.10
La  0.5000  0.5000  0.5000  4 Te 2.98
Te  0.0000  0.0000  0.5000  2 Ta 2.68, 4 La 2.98
Ta  0.0000  0.0000  0.0000  4 N 2.10


Which of them is the most stable, and which is the least stable? *b* and *a*, in that order.


*a*
Density functional theory data (meta-GGA SCAN) for a PBEsol-optimized structure of NaLa3Ru.

Total magnetic moment: 0.0 μB per formula unit
Density: 5.693 g cm⁻³

abc: 6.1251 6.5471 7.8669
angles: 90.00 90.00 90.00
With the nearest neighbours (Å) after each atom.
Sites, in units of the cell vectors:
Na  0.2500  0.6612  0.5000  2 Na 3.72, 10 La 3.74-3.94
Na  0.7500  0.3388  0.5000  2 Na 3.72, 10 La 3.74-3.94
La  0.2500  0.1656  0.7373  2 Ru 2.79
La  0.7500  0.3578  0.0000  2 Ru 2.80
La  0.2500  0.6422  0.0000  2 Ru 2.80
La  0.7500  0.8344  0.7373  2 Ru 2.79
La  0.2500  0.1656  0.2627  2 Ru 2.79
La  0.7500  0.8344  0.2627  2 Ru 2.79
Ru  0.5000  0.0000  0.0000  6 La 2.79-2.80, 2 Ru 3.06
Ru  0.0000  0.0000  0.0000  6 La 2.79-2.80, 2 Ru 3.06


*b*
Density functional theory data (meta-GGA SCAN) for a PBEsol-optimized structure of NaLa3Ru.

Total magnetic moment: 0.1 μB per formula unit
Density: 5.290 g cm⁻³

abc: 5.5371 5.5371 5.5371
angles: 90.00 90.00 90.00
With the nearest neighbours (Å) after each atom.
Sites, in units of the cell vectors:
Ru  0.0000  0.0000  0.0000  6 La 2.77
Na  0.5000  0.5000  0.5000  12 La 3.92
La  0.0000  0.5000  0.0000  2 Ru 2.77
La  0.0000  0.0000  0.5000  2 Ru 2.77
La  0.5000  0.0000  0.0000  2 Ru 2.77


Which of them is the most stable, and which is the least stable? *a* and *b*, in that order.


*a*
Density functional theory data (meta-GGA SCAN) for a PBEsol-optimized structure of LaTiNbO6.

Total magnetic moment: 0.0 μB per formula unit
Density: 5.337 g cm⁻³

abc: 5.2768 7.0844 7.0844
angles: 76.97 70.65 70.65
With the nearest neighbours (Å) after each atom.
Sites, in units of the cell vectors:
La  0.5000  0.1861  0.8139  8 O 2.43-2.67
La  0.0000  0.8169  0.1831  8 O 2.39-2.66
Ti  0.1965  0.1819  0.3480  6 O 1.87-2.02
Ti  0.8035  0.6520  0.8181  6 O 1.87-2.02
Nb  0.3112  0.8095  0.6473  6 O 1.92-2.07
Nb  0.6888  0.3527  0.1905  6 O 1.92-2.07
O  0.0935  0.1775  0.1011  1 Ti 2.01, 1 Nb 2.05
O  0.9065  0.8989  0.8225  1 Ti 2.01, 1 Nb 2.05
O  0.4091  0.8236  0.8997  1 Ti 2.00, 1 Nb 2.05
O  0.5909  0.1003  0.1764  1 Ti 2.00, 1 Nb 2.05
O  0.7892  0.2736  0.4468  1 Ti 1.95, 1 Nb 1.97
O  0.2108  0.5532  0.7264  1 Ti 1.95, 1 Nb 1.97
O  0.7226  0.7204  0.5577  1 Ti 1.95, 1 Nb 1.97
O  0.2774  0.4423  0.2796  1 Ti 1.95, 1 Nb 1.97
O  0.7197  0.4040  0.8859  1 Ti 1.87, 1 Nb 2.07
O  0.2803  0.1141  0.5960  1 Ti 1.87, 1 Nb 2.07
O  0.7728  0.6083  0.1152  1 Nb 1.92, 1 Ti 2.02
O  0.2272  0.8848  0.3917  1 Nb 1.92, 1 Ti 2.02


*b*
Density functional theory data (meta-GGA SCAN) for a PBEsol-optimized structure of LaTiNbO6.

Total magnetic moment: 0.0 μB per formula unit
Density: 5.548 g cm⁻³

abc: 5.4184 7.5411 11.0079
angles: 90.00 90.00 90.00
With the nearest neighbours (Å) after each atom.
Sites, in units of the cell vectors:
La  0.9565  0.2499  0.5419  8 O 2.44-2.54
La  0.5435  0.2499  0.0419  8 O 2.44-2.54
La  0.0435  0.7499  0.4581  8 O 2.44-2.54
La  0.4565  0.7499  0.9581  8 O 2.44-2.54
Ti  0.4678  0.5069  0.6400  5 O 1.87-2.02
Ti  0.5322  0.0069  0.3600  5 O 1.87-2.02
Ti  0.9678  0.0069  0.8600  5 O 1.87-2.02
Ti  0.0322  0.5069  0.1400  5 O 1.87-2.02
Nb  0.0383  0.9944  0.1472  5 O 1.89-2.02
Nb  0.9617  0.4944  0.8528  5 O 1.89-2.02
Nb  0.5383  0.4944  0.3528  5 O 1.89-2.02
Nb  0.4617  0.9944  0.6472  5 O 1.89-2.02
O  0.1326  0.4424  0.7077  1 Nb 1.89, 1 Ti 2.02
O  0.3757  0.0566  0.2124  1 Ti 1.87, 1 Nb 2.02
O  0.8674  0.9424  0.2923  1 Nb 1.89, 1 Ti 2.02
O  0.6243  0.5566  0.7876  1 Ti 1.87, 1 Nb 2.02
O  0.8757  0.5566  0.2876  1 Ti 1.87, 1 Nb 2.02
O  0.6326  0.9424  0.7923  1 Nb 1.89, 1 Ti 2.02
O  0.1243  0.0566  0.7124  1 Ti 1.87, 1 Nb 2.02
O  0.3674  0.4424  0.2077  1 Nb 1.89, 1 Ti 2.02
O  0.2708  0.4633  0.4739  1 Nb 1.98, 1 Ti 2.14
O  0.2312  0.0369  0.9726  1 Ti 1.90
O  0.7292  0.9633  0.5261  1 Nb 1.98, 1 Ti 2.14
O  0.7688  0.5369  0.0274  1 Ti 1.90
O  0.7312  0.5369  0.5274  1 Ti 1.90
O  0.7708  0.9633  0.0261  1 Nb 1.98, 1 Ti 2.14
O  0.2688  0.0369  0.4726  1 Ti 1.90
O  0.2292  0.4633  0.9739  1 Nb 1.98, 1 Ti 2.14
O  0.5435  0.2525  0.6439  1 Ti 1.96, 1 Nb 2.00
O  0.9565  0.2525  0.1439  1 Ti 1.96, 1 Nb 2.00
O  0.4565  0.7525  0.3561  1 Ti 1.96, 1 Nb 2.00
O  0.0435  0.7525  0.8561  1 Ti 1.96, 1 Nb 2.00
O  0.3453  0.7470  0.6231  1 Ti 1.94, 1 Nb 1.99
O  0.1547  0.7470  0.1231  1 Ti 1.94, 1 Nb 1.99
O  0.6547  0.2470  0.3769  1 Ti 1.94, 1 Nb 1.99
O  0.8453  0.2470  0.8769  1 Ti 1.94, 1 Nb 1.99


Which of them is the most stable, and which is the least stable? *b* and *a*, in that order.


*a*
Density functional theory data (meta-GGA SCAN) for a PBEsol-optimized structure of La5Ni.

Total magnetic moment: 0.0 μB per formula unit
Density: 7.007 g cm⁻³

abc: 3.6193 6.3338 8.5480
angles: 107.31 90.00 106.60
With the nearest neighbours (Å) after each atom.
Sites, in units of the cell vectors:
Ni  0.2688  0.5376  0.0501  6 La 2.84-2.88
La  0.9377  0.8754  0.0024  2 Ni 2.86
La  0.3198  0.6397  0.6401  11 La 3.49-3.65, 1 Ni 3.74
La  0.6957  0.3914  0.2541  2 Ni 2.84
La  0.6308  0.2615  0.8042  2 Ni 2.88
La  0.9805  0.9610  0.4157  6 La 3.30-3.62


*b*
Density functional theory data (meta-GGA SCAN) for a PBEsol-optimized structure of La5Ni.

Total magnetic moment: 0.0 μB per formula unit
Density: 7.488 g cm⁻³

abc: 5.2935 6.0362 6.0362
angles: 120.00 90.00 90.00
With the nearest neighbours (Å) after each atom.
Sites, in units of the cell vectors:
La  0.0000  0.7066  0.0000  6 La 3.07-3.41, 2 Ni 3.18
La  0.0000  0.0000  0.7066  6 La 3.07-3.41, 2 Ni 3.18
La  0.0000  0.2934  0.2934  6 La 3.07-3.41, 2 Ni 3.18
La  0.5000  0.3333  0.6667  9 La 3.41-3.49, 3 Ni 3.49
La  0.5000  0.6667  0.3333  9 La 3.41-3.49, 3 Ni 3.49
Ni  0.5000  0.0000  0.0000  12 La 3.18-3.49


Which of them is the most stable, and which is the least stable? *a* and *b*, in that order.


*a*
Density functional theory data (meta-GGA SCAN) for a PBEsol-optimized structure of LaNiOs.

Total magnetic moment: 0.0 μB per formula unit
Density: 11.702 g cm⁻³

abc: 3.3428 3.3428 5.4629
angles: 107.82 107.82 90.00
With the nearest neighbours (Å) after each atom.
Sites, in units of the cell vectors:
La  0.9997  0.9997  0.9994  1 Ni 2.81, 1 Os 2.82
Ni  0.7145  0.7145  0.4291  4 Os 2.47
Os  0.2858  0.2858  0.5715  4 Ni 2.47


*b*
Density functional theory data (meta-GGA SCAN) for a PBEsol-optimized structure of LaNiOs.

Total magnetic moment: 0.0 μB per formula unit
Density: 12.369 g cm⁻³

abc: 5.0529 5.3207 5.3207
angles: 60.66 61.65 61.65
With the nearest neighbours (Å) after each atom.
Sites, in units of the cell vectors:
Ni  0.0000  0.5000  0.5000  4 Os 2.66, 2 Ni 2.69
Ni  0.0000  0.0000  0.0000  4 Os 2.66, 2 Ni 2.69
Os  0.0000  0.0000  0.5000  2 Os 2.53, 4 Ni 2.66
Os  0.5000  0.0000  0.5000  2 Os 2.53, 4 Ni 2.66
La  0.3780  0.3720  0.8720  6 Ni 3.01-3.20, 6 Os 3.12-3.13, 4 La 3.20-3.27
La  0.6220  0.6280  0.1280  6 Ni 3.01-3.20, 6 Os 3.12-3.13, 4 La 3.20-3.27


Which of them is the most stable, and which is the least stable? *b* and *a*, in that order.


*a*
Density functional theory data (meta-GGA SCAN) for a PBEsol-optimized structure of LaReNi2.

Total magnetic moment: 0.0 μB per formula unit
Density: 12.142 g cm⁻³

abc: 2.8084 4.7287 4.7287
angles: 105.49 90.00 90.00
With the nearest neighbours (Å) after each atom.
Sites, in units of the cell vectors:
La  0.5000  0.5000  0.5000  8 Ni 2.75, 2 La 2.81, 2 Re 2.86
Ni  0.0000  0.5000  0.0000  4 Re 2.75, 4 La 2.75, 4 Ni 2.81-2.86
Ni  0.0000  0.0000  0.5000  4 La 2.75, 4 Re 2.75, 4 Ni 2.81-2.86
Re  0.5000  0.0000  0.0000  8 Ni 2.75, 2 Re 2.81, 2 La 2.86


*b*
Density functional theory data (meta-GGA SCAN) for a PBEsol-optimized structure of LaReNi2.

Total magnetic moment: 2.2 μB per formula unit
Density: 11.728 g cm⁻³

abc: 3.9378 3.9378 4.9069
angles: 113.66 113.66 90.00
With the nearest neighbours (Å) after each atom.
Sites, in units of the cell vectors:
La  0.2500  0.7500  0.5000  8 Ni 2.78-2.82, 4 Re 2.82
Ni  0.0000  0.0000  0.0000  4 Re 2.78, 4 La 2.82, 4 Ni 2.82
Ni  0.7500  0.2500  0.5000  4 La 2.78, 4 Re 2.82, 4 Ni 2.82
Re  0.5000  0.5000  0.0000  8 Ni 2.78-2.82, 4 La 2.82


Which of them is the most stable, and which is the least stable? *a* and *b*, in that order.


*a*
Density functional theory data (meta-GGA SCAN) for a PBEsol-optimized structure of LaNi2Rh.

Total magnetic moment: 0.0 μB per formula unit
Density: 8.440 g cm⁻³

abc: 4.1863 4.1873 5.2429
angles: 113.49 90.00 119.99
With the nearest neighbours (Å) after each atom.
Sites, in units of the cell vectors:
Ni  0.8093  0.6185  0.9281  3 Rh 2.44, 3 Ni 2.51, 1 La 2.66
Ni  0.1907  0.3815  0.0719  3 Rh 2.44, 3 Ni 2.51, 1 La 2.66
Rh  0.5000  0.0000  0.0000  6 Ni 2.44
La  0.0000  0.0000  0.5000  2 Ni 2.66


*b*
Density functional theory data (meta-GGA SCAN) for a PBEsol-optimized structure of LaNi2Rh.

Total magnetic moment: 0.0 μB per formula unit
Density: 9.513 g cm⁻³

abc: 2.9926 3.6197 5.7885
angles: 90.00 90.00 90.00
With the nearest neighbours (Å) after each atom.
Sites, in units of the cell vectors:
La  0.5000  0.5000  0.5000  2 Rh 2.89, 8 Ni 2.92, 2 La 2.99
Ni  0.0000  0.0000  0.8004  1 Ni 2.31
Ni  0.0000  0.0000  0.1996  1 Ni 2.31
Rh  0.5000  0.5000  0.0000  8 Ni 2.62, 2 La 2.89


*c*
Density functional theory data (meta-GGA SCAN) for a PBEsol-optimized structure of LaNi2Rh.

Total magnetic moment: 0.0 μB per formula unit
Density: 9.737 g cm⁻³

abc: 3.9934 4.0022 4.7626
angles: 114.85 114.79 90.00
With the nearest neighbours (Å) after each atom.
Sites, in units of the cell vectors:
La  0.2506  0.7506  0.5013  4 Rh 2.77, 8 Ni 2.77-2.83
Ni  0.0007  0.0007  0.0014  4 Ni 2.76-2.78, 4 La 2.77, 4 Rh 2.83
Ni  0.7487  0.2487  0.4974  4 Ni 2.76-2.78, 4 Rh 2.76-2.77, 4 La 2.83
Rh  0.4999  0.4999  0.9999  8 Ni 2.76-2.83, 4 La 2.77


Which of them is the most stable, and which is the least stable? *a* and *b*, in that order.